DFT (GGA-PBE) results for an optimized crystal structure of CdGa2Os2.

Summary:
DFT formation energy	0.42	eV per atom
total magnetic moment	0.0	μB/f.u.
E above lowest polymorph	0.225	eV per atom
mass density	12.0	g/cm³
total DFT energy (no corrections)	-5.463	eV/atom
SG	I4/mmm (139)

abc: 6.4291 6.4291 6.4291
angles: 144.92 144.92 50.45
With the nearest neighbours (Å) after each atom.
Positions (direct):
Cd  0.0000  0.0000  0.0000  8 Os 3.01
Ga  0.2500  0.7500  0.5000  4 Os 2.56, 4 Ga 2.74
Ga  0.7500  0.2500  0.5000  4 Os 2.56, 4 Ga 2.74
Os  0.3935  0.3935  0.0000  1 Os 2.48, 4 Ga 2.56
Os  0.6065  0.6065  0.0000  1 Os 2.48, 4 Ga 2.56